# Ce3NdAu7, optimized geometry, DFT PBE
data_Ce3NdAu7
_cell_length_a 3.8223
_cell_length_b 22.7842
_cell_length_c 12.7320
_cell_angle_alpha 90.00
_cell_angle_beta 90.00
_cell_angle_gamma 90.00
_space_group_name_H-M_alt 'C m c m'
_space_group_IT_number 63
_space_group_name_Hall '-C 2c 2'
loop_
_atom_site_label
_atom_site_type_symbol
_atom_site_fract_x
_atom_site_fract_y
_atom_site_fract_z
_atom_site_occupancy
Ce1 Ce 0.0000 0.1439 0.0640 1
Ce2 Ce 0.0000 0.1918 0.7500 1
Nd1 Nd 0.0000 0.0066 0.7500 1
Au1 Au 0.0000 0.2783 0.0688 1
Au2 Au 0.0000 0.3816 0.7500 1
Au3 Au 0.0000 0.4010 0.1342 1
Au4 Au 0.0000 0.4605 0.5757 1
# N(E_F): 89.9 states/eV/cell
# final energy: -209.146 eV for the cell shown
# theoretical density: 11.6 Mg/m³
# total moment: 11.68 Bohr magnetons per cell